DFT (PBE) results for an optimized crystal structure of Ti6AgS12.

Structure (POSCAR):
```
Ti6AgS12
1.0
7.101 -5.128 0.000
7.101 5.128 0.000
-2.453 0.000 5.392
Ti Ag S
6 1 12
Cartesian
1.690 1.709 4.067
2.883 0.000 1.349
1.690 -1.709 4.067
10.059 1.709 1.325
8.865 0.000 4.044
10.059 -1.709 1.325
5.874 0.000 2.696
5.063 3.418 0.141
0.812 0.000 2.569
3.818 1.729 2.851
6.685 3.418 5.251
5.061 0.000 0.136
7.931 1.729 2.542
3.818 -1.729 2.851
6.688 0.000 5.257
5.063 -3.418 0.141
7.931 -1.729 2.542
10.936 0.000 2.824
6.685 -3.418 5.251
```

Results
The magnetization is 0.00 μB per cell. The density of states at the Fermi level comes out at 5.5 states/eV per cell. For the formation energy from raw total energies, the calculation gives -1.217 eV per atom.

DFT (PBE) results for an optimized crystal structure of TiAgS4.

Structure (POSCAR):
```
TiAgS4
1.0
6.372 0.000 0.000
-3.130 5.953 0.000
-0.220 -0.745 6.980
Ti Ag S
2 2 8
Cartesian
1.374 -0.744 6.978
1.648 5.951 0.003
-0.113 2.479 3.567
3.134 2.728 3.413
-0.223 0.078 5.204
-0.004 1.256 1.424
0.051 4.047 0.043
-0.160 4.322 5.216
3.182 0.886 1.764
2.970 1.160 6.937
3.025 3.951 5.556
3.244 5.130 1.776
```

Results
The magnetization is 0.00 μB per cell. The density of states at the Fermi level comes out at 2.4 states/eV per cell. For the formation energy from raw total energies, the calculation gives -0.488 eV per atom.

DFT (PBE) results for an optimized crystal structure of Ti3AgS.

Structure (POSCAR):
```
Ti3AgS
1.0
4.490 0.000 0.000
0.000 4.490 0.000
0.000 0.000 4.490
Ti Ag S
3 1 1
Cartesian
0.000 0.000 2.245
0.000 2.245 0.000
2.245 0.000 0.000
2.245 2.245 2.245
0.000 0.000 0.000
```

Results
The magnetization is 0.00 μB per cell. The density of states at the Fermi level comes out at 6.8 states/eV per cell. For the formation energy from raw total energies, the calculation gives -0.313 eV per atom. The energy above the most stable polymorph in this dataset comes out at 0 meV/atom.

DFT (PBE) results for an optimized crystal structure of TiAg4S4.

Structure (POSCAR):
```
TiAg4S4
1.0
-3.019 3.019 5.537
3.019 -3.019 5.537
3.019 3.019 -5.537
Ti Ag S
1 4 4
Cartesian
0.000 0.000 0.000
3.019 0.000 0.000
0.000 0.000 3.127
0.000 3.019 0.000
0.000 0.000 7.948
1.681 -1.681 4.173
1.338 1.338 1.365
-1.681 1.681 4.173
1.681 1.681 6.902
```

Results
The magnetization is 0.00 μB per cell. For the formation energy from raw total energies, the calculation gives -0.461 eV per atom.

Which formula does entry 2 have? TiAgS4

What is the formation energy from raw total energies in the third record? -0.313 eV per atom

magnetization of number 1 (Ti6AgS12)? 0.00 μB per cell